Compound: Mg4Pa3ZnN8
Source: the Alexandria database
Functional: PBE-GGA
Structure: relaxed

* total magnetization: 1.10 μB per formula unit
* uncorrected formation energy: -1.02 eV/atom
* theoretical density: 7.7 g/cm3
* SG: R-3m
* V: 209 Å³/cell

Structure (POSCAR):
```
Mg4Pa3ZnN8
1.0
3.376 1.949 5.289
-3.376 1.949 5.289
0.000 -3.899 5.289
Mg Pa Zn N
4 3 1 8
Direct
0.000 0.000 0.000 Mg
0.000 0.500 0.500 Mg
0.500 0.000 0.500 Mg
0.500 0.500 0.000 Mg
0.000 0.000 0.500 Pa
0.000 0.500 0.000 Pa
0.500 0.000 0.000 Pa
0.500 0.500 0.500 Zn
0.237 0.753 0.753 N
0.247 0.247 0.763 N
0.247 0.763 0.247 N
0.251 0.251 0.251 N
0.749 0.749 0.749 N
0.753 0.237 0.753 N
0.753 0.753 0.237 N
0.763 0.247 0.247 N
```


Compound: MgPaZnN3
Source: the Alexandria database
Functional: PBE-GGA
Structure: relaxed

* total magnetization: 0.00 μB per formula unit
* uncorrected formation energy: -0.85 eV/atom
* theoretical density: 8.0 g/cm3
* SG: P2_1/m
* V: 151 Å³/cell

Structure (POSCAR):
```
MgPaZnN3
1.0
5.724 0.000 0.000
0.000 3.248 0.000
-2.204 0.000 8.139
Mg Pa Zn N
2 2 2 6
Direct
0.226 0.250 0.083 Mg
0.774 0.750 0.917 Mg
0.213 0.750 0.702 Pa
0.787 0.250 0.298 Pa
0.292 0.750 0.362 Zn
0.708 0.250 0.638 Zn
0.038 0.250 0.834 N
0.201 0.250 0.485 N
0.484 0.750 0.192 N
0.516 0.250 0.808 N
0.799 0.750 0.515 N
0.962 0.750 0.166 N
```